Density functional theory data (PBE-GGA) for SmTm3Sc7 after structural relaxation.

ΔE_f ... 289 meV per atom
Fermi-level density of states ... 38.447 states/eV per cell

a = 11.9975 Å, b = 10.4537 Å, c = 5.4180 Å
α = 90.00°, β = 116.77°, γ = 90.00°
Last column: nearest neighbours and their distance in Å.
Space group C2/m (No. 12)
Symmetry-distinct sites (fractional):
Sm  0.0000  0.0000  0.0000  2 Sc 2.71
Tm  0.0000  0.2920  0.5000  5 Sc 3.05-3.22
Tm  0.0000  0.5000  0.0000  4 Sc 3.05
Sc  0.0000  0.0000  0.5000  2 Sm 2.71
Sc  0.2074  0.5000  0.7068  2 Tm 3.11, 1 Sm 3.13, 6 Sc 3.33-3.37
Sc  0.2156  0.3087  0.2154  2 Tm 3.05-3.22, 5 Sc 3.06-3.37

=====

Density functional theory data (PBE-GGA) for Rb3TeOs after structural relaxation.

Uncorrected formation energy ... 0.80 eV per atom
Polymorph energy (0 for the lowest one) ... 0 meV/atom
Fermi-level density of states ... 0.933 states/eV per cell

a = 6.9164 Å, b = 6.9164 Å, c = 6.9164 Å
α = 90.00°, β = 90.00°, γ = 90.00°
Last column: nearest neighbours and their distance in Å.
Space group Pm-3m (No. 221)
Symmetry-distinct sites (fractional):
Rb  0.0000  0.0000  0.5000  2 Te 3.46
Te  0.0000  0.0000  0.0000  6 Rb 3.46
Os  0.5000  0.5000  0.5000  12 Rb 4.89

=====

Density functional theory data (PBE-GGA) for Zr2ScOs after structural relaxation.

ΔE_f ... -287 meV per atom
Fermi-level density of states ... 5.969 states/eV per cell

a = 3.3291 Å, b = 4.8497 Å, c = 10.0506 Å
α = 90.00°, β = 90.00°, γ = 90.00°
Last column: nearest neighbours and their distance in Å.
Space group Imm2 (No. 44)
Symmetry-distinct sites (fractional):
Zr  0.0000  0.0000  0.0000  2 Os 2.72, 4 Sc 3.02
Zr  0.0000  0.5000  0.2179  4 Os 2.94, 2 Sc 3.24, 4 Zr 3.27-3.29
Sc  0.0000  0.0000  0.4322  2 Os 2.75, 4 Zr 3.02
Os  0.0000  0.5000  0.7142  6 Zr 2.72-2.94, 2 Sc 2.75

=====

Density functional theory data (PBE-GGA) for SiP2Rh after structural relaxation.

Uncorrected formation energy ... -0.29 eV per atom
Fermi-level density of states ... 7.919 states/eV per cell

a = 5.2585 Å, b = 5.2585 Å, c = 10.5268 Å
α = 90.00°, β = 90.00°, γ = 90.00°
Last column: nearest neighbours and their distance in Å.
Space group I-42d (No. 122)
Symmetry-distinct sites (fractional):
Si  0.0000  0.0000  0.0000  4 P 2.28
P  0.2501  0.2500  0.1250  2 Rh 2.28, 2 Si 2.28
Rh  0.0000  0.0000  0.5000  4 P 2.28

=====

Density functional theory data (PBE-GGA) for CaTbZnHg after structural relaxation.

ΔE_f ... -405 meV per atom
Polymorph energy (0 for the lowest one) ... 4 meV/atom
Fermi-level density of states ... 16.466 states/eV per cell

a = 7.3815 Å, b = 7.3815 Å, c = 7.3815 Å
α = 90.00°, β = 90.00°, γ = 90.00°
Last column: nearest neighbours and their distance in Å.
Space group F-43m (No. 216)
Symmetry-distinct sites (fractional):
Ca  0.0000  0.0000  0.0000  4 Hg 3.20, 4 Zn 3.20
Tb  0.0000  0.0000  0.5000  4 Hg 3.20, 4 Zn 3.20
Zn  0.2500  0.2500  0.7500  4 Tb 3.20, 4 Ca 3.20
Hg  0.2500  0.2500  0.2500  4 Tb 3.20, 4 Ca 3.20

=====

Density functional theory data (PBE-GGA) for TbTlCo after structural relaxation.

ΔE_f ... -238 meV per atom
Fermi-level density of states ... 14.432 states/eV per cell

a = 3.8741 Å, b = 3.8741 Å, c = 33.1429 Å
α = 90.00°, β = 90.00°, γ = 120.00°
Last column: nearest neighbours and their distance in Å.
Space group R-3m (No. 166, hexagonal axes)
Symmetry-distinct sites (fractional):
Tb  0.0000  0.0000  0.0555  6 Co 2.89-2.90
Tl  0.0000  0.0000  0.2018  3 Tl 3.23, 3 Tb 3.37
Co  0.0000  0.0000  0.3336  3 Co 2.24